This record from Alexandria describes crystalline CoBrF2 at its relaxed geometry. The functional is PBE with a Hubbard U.

```
CoBrF2
1.0
6.184 0.000 0.000
0.000 6.184 0.000
3.092 3.092 4.448
F Co Br
4 2 2
direct
0.375 0.624 0.750
0.374 0.625 0.250
0.376 0.125 0.250
0.875 0.626 0.750
0.500 0.500 0.000
0.250 0.750 0.500
0.000 0.000 0.000
0.750 0.250 0.500
```

Computed properties:
N(E_F) (states/eV/cell): 10.92
E_tot (eV per cell): -30.9